A relaxed structure of Na2ZnCuF8. Source: the Alexandria database, functional GGA-PBE.

Lattice parameters (Å, degrees): 4.963 4.994 6.472 89.15 89.16 86.37
Space group P-1 (No. 2)
Inequivalent atoms, fractional coordinates:
Na: 0.002 0.002 0.250 x2
Zn: 0.500 0.500 0.000 x1
Cu: 0.500 0.500 0.500 x1
F: 0.222 0.773 0.000 x2
F: 0.230 0.762 0.500 x2
F: 0.327 0.322 0.721 x2
F: 0.329 0.325 0.269 x2

Results
Calculated volume ... 160 Å³ per cell
E_form (uncorrected) ... -1.972 eV/atom

A relaxed structure of HfGaMo. Source: the Alexandria database, functional GGA-PBE.

Lattice parameters (Å, degrees): 3.433 3.433 8.878 90.00 90.00 90.00
Space group I4mm (No. 107)
Inequivalent atoms, fractional coordinates:
Hf: 0.000 0.000 0.000 x2
Ga: 0.000 0.000 0.679 x2
Mo: 0.000 0.000 0.328 x2

Results
Distance to the lowest polymorph of the same formula ... 0.105 eV/atom
Energy of formation from the pure elements ... -0.69 eV/f.u.
Calculated volume ... 105 Å³ per cell

A relaxed structure of TbPr2H8. Source: the Alexandria database, functional GGA-PBE.

Lattice parameters (Å, degrees): 3.833 5.311 11.467 90.00 90.00 90.00
Space group Immm (No. 71)
Inequivalent atoms, fractional coordinates:
Tb: 0.000 0.000 0.000 x2
Pr: 0.000 0.000 0.332 x4
H: 0.000 0.248 0.500 x4
H: 0.000 0.254 0.154 x8
H: 0.000 0.500 0.335 x4

Results
Calculated volume ... 233 Å³ per cell
Uncorrected energy ... -4.3092 eV per atom

A relaxed structure of VFeTc2H. Source: the Alexandria database, functional GGA-PBE.

Lattice parameters (Å, degrees): 4.101 4.101 3.328 90.00 90.00 90.00
Space group P4/mmm (No. 123)
Inequivalent atoms, fractional coordinates:
V: 0.000 0.000 0.000 x1
Fe: 0.500 0.500 0.000 x1
Tc: 0.000 0.500 0.500 x2
H: 0.500 0.500 0.500 x1

Results
Calculated volume ... 56 Å³ per cell
Uncorrected energy ... -8.3287 eV per atom

Number 1: total magnetic moment 0.137 μB per atom. Number 2: total magnetic moment 0.000 μB per atom. Number 3: total magnetic moment 0.000 μB per atom. Number 4: total magnetic moment 0.474 μB per atom.